# TcW2I2 meta-GGA SCAN single point on PBEsol structure
# **Magnetic moment**: 1.9 μB/f.u.
# **Energy**: -1.7502 Ha/atom
# **Raw formation energy**: 1959 meV/atom
# **Space-group type**: I4/mmm (139)
data_TcW2I2
_space_group_name_H-M_alt 'P 1'
_space_group_IT_number 1
_space_group_name_Hall 'P 1'
_cell_length_a 4.286
_cell_length_b 4.286
_cell_length_c 6.601
_cell_angle_alpha 108.94
_cell_angle_beta 108.94
_cell_angle_gamma 90.00
loop_
_atom_site_label
_atom_site_type_symbol
_atom_site_fract_x
_atom_site_fract_y
_atom_site_fract_z
W1 W 0.602 0.602 0.204
I1 I 0.750 0.250 0.500
Tc1 Tc 0.000 0.000 0.000
W2 W 0.398 0.398 0.796
I2 I 0.250 0.750 0.500